{
  "formula": "BaDy4Pb3O12",
  "functional": "PBE",
  "state": "optimized geometry",
  "dos_ef_per_ev_atom": 0.4682,
  "e_form_raw_kj_per_mol_fu": -4477,
  "cell": [[-4.295, 4.295, 4.295], [4.295, -4.295, 4.295], [4.295, 4.295, -4.295]],
  "species": ["Ba", "Dy", "Dy", "Dy", "Dy", "Pb", "Pb", "Pb", "O", "O", "O", "O", "O", "O", "O", "O", "O", "O", "O", "O"],
  "fractional_positions": [[0.000, 0.000, 0.000], [0.000, 0.000, 0.500], [0.000, 0.500, 0.000], [0.500, 0.000, 0.000], [0.500, 0.500, 0.500], [0.000, 0.500, 0.500], [0.500, 0.000, 0.500], [0.500, 0.500, 0.000], [0.126, 0.820, 0.306], [0.180, 0.306, 0.485], [0.180, 0.694, 0.874], [0.306, 0.126, 0.820], [0.306, 0.485, 0.180], [0.485, 0.180, 0.306], [0.515, 0.820, 0.694], [0.694, 0.515, 0.820], [0.694, 0.874, 0.180], [0.820, 0.306, 0.126], [0.820, 0.694, 0.515], [0.874, 0.180, 0.694]]
}